ScMoPt2: optimized geometry, PBE.

The formation energy is -0.444 eV per atom. The calculation puts the magnetization at 0.000 μB/cell. The value obtained for the density of states at the Fermi level is 1.1087 states/eV per atom.

The structure belongs to space group P4mm (No. 99); the cell edges are 3.3621, 3.3621 and 6.0295 Å and the angles 90.00°, 90.00° and 90.00°. The inequivalent atoms are Sc at (0.0000, 0.0000, 0.0000), Mo at (0.5000, 0.5000, 0.3027), Pt at (0.0000, 0.0000, 0.5016) and Pt at (0.5000, 0.5000, 0.7740).